# PBE NaPu2Mg3N6, relaxed
# Space group: C2/m (12)
data_NaPu2Mg3N6
_symmetry_space_group_name_H-M 'P 1'
_symmetry_Int_Tables_number 1
_cell_length_a 3.387
_cell_length_b 6.599
_cell_length_c 6.987
_cell_angle_alpha 101.80
_cell_angle_beta 104.03
_cell_angle_gamma 90.00
loop_
_symmetry_equiv_pos_as_xyz
'x,y,z'
loop_
_atom_site_label
_atom_site_fract_x
_atom_site_fract_y
_atom_site_fract_z
Pu1 0.838 0.681 0.677
Pu2 0.162 0.319 0.323
N1 0.989 0.721 0.979
N2 0.673 0.102 0.347
N3 0.327 0.898 0.653
N4 0.326 0.421 0.651
N5 0.011 0.279 0.021
N6 0.674 0.579 0.349
Mg1 0.838 0.163 0.677
Mg2 0.500 0.500 0.000
Mg3 0.162 0.837 0.323
Na1 0.500 0.000 0.000

# PBE NaMgS2N, relaxed
# Space group: P4/mmm (123)
data_NaMgS2N
_symmetry_space_group_name_H-M 'P 1'
_symmetry_Int_Tables_number 1
_cell_length_a 4.993
_cell_length_b 4.993
_cell_length_c 4.260
_cell_angle_alpha 90.00
_cell_angle_beta 90.00
_cell_angle_gamma 90.00
loop_
_symmetry_equiv_pos_as_xyz
'x,y,z'
loop_
_atom_site_label
_atom_site_fract_x
_atom_site_fract_y
_atom_site_fract_z
N1 0.000 0.000 0.500
Na1 0.000 0.000 0.000
Mg1 0.500 0.500 0.500
S1 0.500 0.000 0.000
S2 0.000 0.500 0.000

Record order is preserved below.
Formation energy from raw total energies: -0.765; 0.929 eV per atom
Record order is preserved below.
Total magnetization: 5.00; 3.70 μB/f.u.